(1)
A geometry-optimized VTePS2 structure. Source: the Alexandria database, functional PBE.

POSCAR file:
```
VTePS2
1.0
-1.6566 3.4387 -3.2406
1.1915 -3.0190 -3.8127
-4.5683 -2.0308 0.1804
P S Te V
1 2 1 1
direct
0.0000 0.0000 0.5000
0.0000 0.5000 0.0000
0.5000 0.0000 0.0000
0.0000 0.0000 0.0000
0.5000 0.5000 0.5000
```

Uncorrected formation energy in meV per atom: 1054


(2)
A geometry-optimized VTePS2 structure. Source: the Alexandria database, functional PBE.

POSCAR file:
```
VTePS2
1.0
-2.4068 3.0230 -2.1726
-3.3084 -2.9230 -0.4020
-1.9569 1.6089 4.4064
P S Te V
1 2 1 1
direct
0.0000 0.0000 0.5000
0.0000 0.5000 0.0000
0.5000 0.0000 0.0000
0.5000 0.5000 0.5000
0.0000 0.0000 0.0000
```

Uncorrected formation energy in meV per atom: 115


(3)
A geometry-optimized TeP2WS structure. Source: the Alexandria database, functional PBE.

POSCAR file:
```
TeP2WS
1.0
-0.6074 1.0838 4.7170
-3.7475 -3.1138 0.2329
2.8220 -3.3122 1.1244
P S Te W
2 1 1 1
direct
0.0000 0.5000 0.0000
0.5000 0.0000 0.0000
0.0000 0.0000 0.5000
0.5000 0.5000 0.5000
0.0000 0.0000 0.0000
```

Uncorrected formation energy in meV per atom: 433


(4)
A geometry-optimized TePWS2 structure. Source: the Alexandria database, functional PBE.

POSCAR file:
```
TePWS2
1.0
-0.5527 4.8652 -0.3171
-3.3722 -0.6119 -3.5115
-3.6592 -0.1846 3.5462
P S Te W
1 2 1 1
direct
0.0000 0.0000 0.5000
0.0000 0.5000 0.0000
0.5000 0.0000 0.0000
0.0000 0.0000 0.0000
0.5000 0.5000 0.5000
```

Uncorrected formation energy in meV per atom: 1733


(5)
A geometry-optimized TePWS2 structure. Source: the Alexandria database, functional PBE.

POSCAR file:
```
TePWS2
1.0
-3.7048 -1.0695 2.4744
2.6602 -0.7709 3.6498
-0.4843 4.8776 1.3832
P S Te W
1 2 1 1
direct
0.0000 0.0000 0.5000
0.0000 0.5000 0.0000
0.5000 0.0000 0.0000
0.5000 0.5000 0.5000
0.0000 0.0000 0.0000
```

Uncorrected formation energy in meV per atom: 321


(6)
A geometry-optimized TeP2WS structure. Source: the Alexandria database, functional PBE.

POSCAR file:
```
TeP2WS
1.0
-3.0650 -3.8999 0.0482
3.8394 -3.0278 -0.8353
0.6736 -0.4701 4.8001
P S Te W
2 1 1 1
direct
0.0000 0.5000 0.0000
0.5000 0.0000 0.0000
0.0000 0.0000 0.5000
0.0000 0.0000 0.0000
0.5000 0.5000 0.5000
```

Uncorrected formation energy in meV per atom: 1898


(7)
A geometry-optimized Y6Te3PS2 structure. Source: the Alexandria database, functional PBE.

POSCAR file:
```
Y6Te3PS2
1.0
-0.3823 -7.0035 1.0596
3.0689 2.5353 -5.8713
5.2977 1.6538 4.9141
Y Te P S
6 3 1 2
direct
0.9317 0.6019 0.7951
0.7390 0.7390 0.2052
0.0683 0.3981 0.2049
0.6019 0.9317 0.7951
0.2610 0.2610 0.7948
0.3981 0.0683 0.2049
0.1674 0.8326 0.5000
0.8326 0.1674 0.5000
0.5000 0.5000 0.5000
0.0000 0.0000 0.0000
0.3335 0.6665 0.0000
0.6665 0.3335 0.0000
```

Uncorrected formation energy in meV per atom: -1652


(8)
A geometry-optimized Y6TeP3S2 structure. Source: the Alexandria database, functional PBE.

POSCAR file:
```
Y6TeP3S2
1.0
-0.2524 -2.8887 -2.7971
6.6337 2.9873 -3.6838
3.3422 -4.4366 7.1821
Y Te P S
6 1 3 2
direct
0.3235 0.9191 0.6470
0.6649 0.5888 0.3299
0.6765 0.0809 0.3530
0.9987 0.2754 0.9975
0.0013 0.7246 0.0025
0.3351 0.4112 0.6701
0.5000 0.0000 0.0000
0.5000 0.5000 0.0000
0.8355 0.1690 0.6709
0.1645 0.8310 0.3291
0.8316 0.6652 0.6631
0.1684 0.3348 0.3369
```

Uncorrected formation energy in meV per atom: -1746